Record 1
VASP calculation (PBE) on a geometry-optimized Ce2Ga4IrAu3 structure.

```
Ce2Ga4IrAu3
1.0
4.358 0.000 0.000
0.000 4.358 0.000
0.000 0.000 10.642
Ce Ga Ir Au
2 4 1 3
Direct
0.000 0.500 0.242
0.500 0.000 0.758
0.000 0.000 0.500
0.000 0.500 0.874
0.500 0.000 0.126
0.500 0.500 0.500
0.500 0.500 0.000
0.000 0.000 0.000
0.000 0.500 0.637
0.500 0.000 0.363
```

Output
Crystal system   tetragonal
Magnetic moment   1.97 μB/f.u.
Formation energy from the elements   -5.8 eV per formula unit
Space group   P-4m2 (115)

***

Record 2
VASP calculation (PBE) on a geometry-optimized Ce2Ga4Ir3Au structure.

```
Ce2Ga4Ir3Au
1.0
4.165 0.000 0.000
0.000 4.165 0.000
0.000 0.000 10.954
Ce Ga Ir Au
2 4 3 1
Direct
0.000 0.500 0.236
0.500 0.000 0.764
0.000 0.000 0.000
0.000 0.500 0.637
0.500 0.000 0.363
0.500 0.500 0.000
0.000 0.500 0.863
0.500 0.000 0.137
0.500 0.500 0.500
0.000 0.000 0.500
```

Output
Crystal system   tetragonal
Magnetic moment   0.98 μB/f.u.
Formation energy from the elements   -6.4 eV per formula unit
Space group   P-4m2 (115)

***

Record 3
VASP calculation (PBE) on a geometry-optimized LiCeGa4Au2 structure.

```
LiCeGa4Au2
1.0
2.218 1.281 8.669
-2.218 1.281 8.669
0.000 -2.562 8.669
Li Ce Ga Au
1 1 4 2
Direct
0.000 0.000 0.000
0.500 0.500 0.500
0.106 0.106 0.106
0.373 0.373 0.373
0.627 0.627 0.627
0.894 0.894 0.894
0.265 0.265 0.265
0.735 0.735 0.735
```

Output
Crystal system   trigonal
Magnetic moment   0.60 μB/f.u.
Formation energy from the elements   -3.6 eV per formula unit
Space group   R-3m (166)

***

Record 4
VASP calculation (PBE) on a geometry-optimized LiCe2Ga3Au4 structure.

```
LiCe2Ga3Au4
1.0
4.454 0.000 0.000
0.000 4.454 0.000
0.000 0.000 10.408
Li Ce Ga Au
1 2 3 4
Direct
0.000 0.000 0.000
0.000 0.500 0.747
0.500 0.000 0.253
0.000 0.500 0.366
0.500 0.000 0.634
0.500 0.500 0.000
0.000 0.000 0.500
0.000 0.500 0.125
0.500 0.000 0.875
0.500 0.500 0.500
```

Output
Crystal system   tetragonal
Magnetic moment   1.99 μB/f.u.
Formation energy from the elements   -5.8 eV per formula unit
Space group   P-4m2 (115)

***

Record 5
VASP calculation (PBE) on a geometry-optimized Li2CeGa2Au2 structure.

```
Li2CeGa2Au2
1.0
3.916 -2.253 0.000
3.916 2.253 0.000
-2.590 0.000 7.517
Li Ce Ga Au
2 1 2 2
Direct
0.141 0.141 0.425
0.859 0.859 0.575
0.000 0.000 0.000
0.432 0.432 0.297
0.568 0.568 0.703
0.257 0.257 0.769
0.743 0.743 0.231
```

Output
Crystal system   monoclinic
Magnetic moment   0.82 μB/f.u.
Formation energy from the elements   -3.9 eV per formula unit
Space group   C2/m (12)

***

Record 6
VASP calculation (PBE) on a geometry-optimized LiCe3Ga2Au6 structure.

```
LiCe3Ga2Au6
1.0
6.140 0.000 0.000
-3.070 5.317 0.000
0.000 0.000 8.370
Li Ce Ga Au
1 3 2 6
Direct
0.000 0.000 0.000
0.000 0.000 0.500
0.333 0.667 0.132
0.667 0.333 0.868
0.333 0.667 0.514
0.667 0.333 0.486
0.176 0.352 0.783
0.176 0.824 0.783
0.352 0.176 0.217
0.648 0.824 0.783
0.824 0.176 0.217
0.824 0.648 0.217
```

Output
Crystal system   trigonal
Magnetic moment   2.94 μB/f.u.
Formation energy from the elements   -5.1 eV per formula unit
Space group   P-3m1 (164)

***

Record 7
VASP calculation (PBE) on a geometry-optimized Li2CeGaAu4 structure.

```
Li2CeGaAu4
1.0
2.241 1.294 8.768
-2.241 1.294 8.768
0.000 -2.588 8.768
Li Ce Ga Au
2 1 1 4
Direct
0.235 0.235 0.235
0.765 0.765 0.765
0.000 0.000 0.000
0.500 0.500 0.500
0.127 0.127 0.127
0.398 0.398 0.398
0.602 0.602 0.602
0.873 0.873 0.873
```

Output
Crystal system   trigonal
Magnetic moment   0.82 μB/f.u.
Formation energy from the elements   -4.2 eV per formula unit
Space group   R-3m (166)

***

Record 8
VASP calculation (PBE) on a geometry-optimized LiCeGa2Au5 structure.

```
LiCeGa2Au5
1.0
4.708 0.000 0.000
0.000 4.708 0.000
0.000 0.000 8.589
Li Ce Ga Au
1 1 2 5
Direct
0.000 0.000 0.000
0.000 0.000 0.500
0.500 0.500 0.145
0.500 0.500 0.855
0.000 0.500 0.267
0.000 0.500 0.733
0.500 0.000 0.267
0.500 0.000 0.733
0.500 0.500 0.500
```

Output
Crystal system   tetragonal
Magnetic moment   0.99 μB/f.u.
Formation energy from the elements   -3.2 eV per formula unit
Space group   P4/mmm (123)

***

Record 9
VASP calculation (PBE) on a geometry-optimized CeMgGa2Au2 structure.

```
CeMgGa2Au2
1.0
4.488 0.000 0.000
-2.244 3.887 0.000
0.000 0.000 7.033
Ce Mg Ga Au
1 1 2 2
Direct
0.000 0.000 0.000
0.000 0.000 0.500
0.333 0.667 0.267
0.667 0.333 0.733
0.333 0.667 0.703
0.667 0.333 0.297
```

Output
Crystal system   trigonal
Magnetic moment   0.91 μB/f.u.
Formation energy from the elements   -3.5 eV per formula unit
Space group   P-3m1 (164)

***

Record 10
VASP calculation (PBE) on a geometry-optimized Ce2MgGa4Au3 structure.

```
Ce2MgGa4Au3
1.0
4.307 0.000 0.000
0.000 4.307 0.000
0.000 0.000 11.261
Ce Mg Ga Au
2 1 4 3
Direct
0.000 0.500 0.245
0.500 0.000 0.755
0.000 0.000 0.500
0.000 0.000 0.000
0.000 0.500 0.644
0.500 0.000 0.356
0.500 0.500 0.000
0.000 0.500 0.867
0.500 0.000 0.133
0.500 0.500 0.500
```

Output
Crystal system   tetragonal
Magnetic moment   1.50 μB/f.u.
Formation energy from the elements   -5.7 eV per formula unit
Space group   P-4m2 (115)

***

Record 11
VASP calculation (PBE) on a geometry-optimized CeMgGaAu structure.

```
CeMgGaAu
1.0
0.000 3.516 3.516
3.516 0.000 3.516
3.516 3.516 0.000
Ce Mg Ga Au
1 1 1 1
Direct
0.000 0.000 0.000
0.500 0.500 0.500
0.750 0.750 0.750
0.250 0.250 0.250
```

Output
Crystal system   cubic
Magnetic moment   0.55 μB/f.u.
Formation energy from the elements   -2.3 eV per formula unit
Space group   F-43m (216)

***

Record 12
VASP calculation (PBE) on a geometry-optimized CeMgGa2Au structure.

```
CeMgGa2Au
1.0
-2.123 2.164 5.766
2.123 -2.164 5.766
2.123 2.164 -5.766
Ce Mg Ga Au
1 1 2 1
Direct
0.000 0.000 0.000
0.239 0.739 0.500
0.596 0.596 0.000
0.737 0.237 0.500
0.376 0.376 0.000
```

Output
Crystal system   orthorhombic
Magnetic moment   0.74 μB/f.u.
Formation energy from the elements   -2.7 eV per formula unit
Space group   Imm2 (44)

***

Please write out number 12 again, unchanged.
VASP calculation (PBE) on a geometry-optimized CeMgGa2Au structure.

```
CeMgGa2Au
1.0
-2.123 2.164 5.766
2.123 -2.164 5.766
2.123 2.164 -5.766
Ce Mg Ga Au
1 1 2 1
Direct
0.000 0.000 0.000
0.239 0.739 0.500
0.596 0.596 0.000
0.737 0.237 0.500
0.376 0.376 0.000
```

Output
Crystal system   orthorhombic
Magnetic moment   0.74 μB/f.u.
Formation energy from the elements   -2.7 eV per formula unit
Space group   Imm2 (44)

***

What is the formula in the eighth record? LiCeGa2Au5

***

Copy entry 10 word for word.
VASP calculation (PBE) on a geometry-optimized Ce2MgGa4Au3 structure.

```
Ce2MgGa4Au3
1.0
4.307 0.000 0.000
0.000 4.307 0.000
0.000 0.000 11.261
Ce Mg Ga Au
2 1 4 3
Direct
0.000 0.500 0.245
0.500 0.000 0.755
0.000 0.000 0.500
0.000 0.000 0.000
0.000 0.500 0.644
0.500 0.000 0.356
0.500 0.500 0.000
0.000 0.500 0.867
0.500 0.000 0.133
0.500 0.500 0.500
```

Output
Crystal system   tetragonal
Magnetic moment   1.50 μB/f.u.
Formation energy from the elements   -5.7 eV per formula unit
Space group   P-4m2 (115)